No. 1
A relaxed InCo2Bi crystal, computed with PBE-GGA.

Results
E_tot ... -4.508 eV per atom
M_tot ... 0.0 μB per cell
D(E_F) ... 17.713 states/eV per cell

Cell lengths 6.9886, 6.9886, 6.1593 Å; angles 90.00, 90.00, 90.00 degrees
With the nearest neighbours (Å) after each atom.
Space group I-42d (No. 122)
Asymmetric unit:
In 0.0000 0.0000 0.0000 x4  4 Co 2.59
Co 0.2500 0.2495 0.3750 x8  2 Bi 2.59, 2 In 2.59
Bi 0.0000 0.0000 0.5000 x4  4 Co 2.59



No. 2
A relaxed Ba2Sn2Pt crystal, computed with PBE-GGA.

Results
E_tot ... -4.304 eV per atom
M_tot ... 0.0 μB per cell
D(E_F) ... 13.173 states/eV per cell

Cell lengths 12.5575, 4.8199, 12.1019 Å; angles 90.00, 116.00, 90.00 degrees
With the nearest neighbours (Å) after each atom.
Space group C2/m (No. 12)
Asymmetric unit:
Ba 0.0093 0.0000 0.1629 x4  7 Sn 3.56-3.91, 3 Pt 3.58-3.63, 1 Ba 3.85
Ba 0.1895 0.0000 0.6130 x4  6 Sn 3.51-3.73, 2 Pt 3.56
Sn 0.0107 0.5000 0.3799 x4  1 Pt 2.78, 1 Sn 3.04
Sn 0.1947 0.5000 0.0611 x4  3 Pt 2.77-2.78
Pt 0.2005 0.5000 0.8344 x4  4 Sn 2.77-2.78



No. 3
A relaxed Tb3NiTe crystal, computed with PBE-GGA.

Results
Raw formation energy ... -0.72 eV/atom
M_tot ... 0.0 μB per cell
D(E_F) ... 9.146 states/eV per cell

Cell lengths 8.0450, 3.9813, 8.5401 Å; angles 90.00, 105.64, 90.00 degrees
With the nearest neighbours (Å) after each atom.
Space group P2_1/m (No. 11)
Asymmetric unit:
Tb 0.0726 0.2500 0.2560 x2  3 Ni 2.78-2.85
Tb 0.3011 0.2500 0.9314 x2  1 Ni 3.04, 3 Te 3.19-3.23
Tb 0.3147 0.7500 0.5924 x2  3 Ni 2.83-3.02
Ni 0.0639 0.2500 0.5873 x2  2 Ni 2.53, 4 Tb 2.78-2.83
Te 0.3824 0.7500 0.2341 x2  8 Tb 3.19-3.25



No. 4
A relaxed Ti2Zn2C crystal, computed with PBE-GGA.

Results
E_tot ... -5.935 eV per atom
M_tot ... 0.0 μB per cell
D(E_F) ... 5.327 states/eV per cell

Cell lengths 3.0417, 3.0417, 26.8415 Å; angles 90.00, 90.00, 120.00 degrees
With the nearest neighbours (Å) after each atom.
Space group R-3m (No. 166, hexagonal axes)
Asymmetric unit:
Ti 0.0000 0.0000 0.1238 x6  3 C 2.10
Zn 0.0000 0.0000 0.3729 x6  9 Zn 2.76-3.04, 3 Ti 2.86
C 0.0000 0.0000 0.5000 x3  6 Ti 2.10



No. 5
A relaxed NdNbC crystal, computed with PBE-GGA.

Results
E_tot ... -8.094 eV per atom
M_tot ... 0.0 μB per cell
D(E_F) ... 19.449 states/eV per cell

Cell lengths 18.0445, 4.3308, 6.7828 Å; angles 90.00, 95.37, 90.00 degrees
With the nearest neighbours (Å) after each atom.
Space group C2/m (No. 12)
Asymmetric unit:
Nd 0.0829 0.0000 0.3367 x4  2 Nb 3.06-3.16, 2 C 3.42
Nd 0.0948 0.5000 0.8236 x4  2 C 2.51
Nb 0.2214 0.0000 0.1079 x4  4 C 2.20-2.22
Nb 0.2303 0.0000 0.6274 x4  4 C 2.13-2.22
C 0.1943 0.5000 0.1085 x4  4 Nb 2.15-2.22
C 0.2032 0.5000 0.6168 x4  4 Nb 2.13-2.22



No. 6
A relaxed ThB2Ir4 crystal, computed with PBE-GGA.

Results
E_tot ... -8.182 eV per atom
M_tot ... 0.0 μB per cell
D(E_F) ... 9.314 states/eV per cell

Cell lengths 4.1713, 5.7011, 8.9225 Å; angles 90.00, 90.00, 90.00 degrees
With the nearest neighbours (Å) after each atom.
Space group Immm (No. 71)
Asymmetric unit:
Th 0.0000 0.0000 0.0000 x2  8 Ir 2.94, 4 B 2.99
B 0.2153 0.5000 0.0000 x4  1 B 1.80
Ir 0.0000 0.2344 0.3424 x8  2 B 2.27



No. 7
A relaxed Ta6OsW3 crystal, computed with PBE-GGA.

Results
E_tot ... -12.303 eV per atom
M_tot ... 0.0 μB per cell
D(E_F) ... 10.550 states/eV per cell

Cell lengths 7.9357, 4.5938, 9.7167 Å; angles 90.00, 105.89, 90.00 degrees
With the nearest neighbours (Å) after each atom.
Space group P2_1/m (No. 11)
Asymmetric unit:
Ta 0.0460 0.2500 0.3991 x2  7 W 2.79-2.84, 1 Ta 2.84
Ta 0.1464 0.7500 0.1962 x2  5 W 2.77-2.84, 1 Os 2.82, 2 Ta 2.83
Ta 0.2527 0.2500 0.9976 x2  3 Os 2.77-2.80, 4 W 2.77-2.84, 1 Ta 2.82
Ta 0.3489 0.7500 0.8036 x2  3 Os 2.76-2.81, 4 W 2.78-2.84, 1 Ta 2.83
Ta 0.3500 0.2500 0.2993 x2  8 Ta 2.82-2.84
Ta 0.4471 0.2500 0.6028 x2  4 W 2.77-2.82, 1 Os 2.79, 3 Ta 2.82-2.84
Os 0.4497 0.7500 0.0990 x2  8 Ta 2.76-2.82
W 0.0491 0.7500 0.8996 x2  8 Ta 2.77-2.84
W 0.1506 0.2500 0.7010 x2  8 Ta 2.77-2.82
W 0.2528 0.7500 0.5000 x2  8 Ta 2.79-2.84



No. 8
A relaxed Th6Tc2Pb crystal, computed with PBE-GGA.

Results
E_tot ... -7.795 eV per atom
M_tot ... 0.0 μB per cell
D(E_F) ... 47.792 states/eV per cell

Cell lengths 9.4730, 9.7022, 11.1205 Å; angles 90.00, 90.00, 90.00 degrees
With the nearest neighbours (Å) after each atom.
Space group Immm (No. 71)
Asymmetric unit:
Th 0.0000 0.2062 0.2402 x8  2 Tc 2.95-3.17
Th 0.1922 0.5000 0.1678 x8  3 Tc 2.85-3.06
Th 0.2031 0.3145 0.5000 x8  3 Tc 3.03-3.16, 1 Pb 3.34
Tc 0.0000 0.3343 0.0000 x4  8 Th 2.95-3.16, 1 Tc 3.21, 1 Pb 3.24
Tc 0.0000 0.5000 0.3652 x4  8 Th 2.85-3.17, 1 Tc 3.00
Pb 0.0000 0.0000 0.0000 x2  2 Tc 3.24, 8 Th 3.34
Pb 0.0000 0.0000 0.5000 x2  12 Th 3.46-3.61